(1)
Here is a relaxed Er8PbC4 crystal from the Alexandria database. Energies are from GGA-PBE.

Geometry as POSCAR:
```
Er8PbC4
1.0
8.649 -1.804 0.000
8.649 1.804 0.000
-7.820 0.000 8.886
Er Pb C
8 1 4
Cartesian
-1.112 0.000 2.080 Er
1.734 0.000 3.860 Er
4.570 0.000 1.416 Er
-0.763 0.000 8.080 Er
10.241 0.000 0.806 Er
4.909 0.000 7.469 Er
7.745 0.000 5.026 Er
10.591 0.000 6.806 Er
-3.910 0.000 4.443 Pb
-4.958 0.000 8.557 C
0.515 0.000 5.962 C
8.964 0.000 2.924 C
14.436 0.000 0.329 C
```

Summary:
DOS at the Fermi energy ... 0.744 states/eV per atom
Energy relative to the elements ... -0.35 eV/atom
Offset from the most stable computed form ... 0.00 eV per formula unit
E_tot ... -81.65 eV/cell
Volume ... 21.33 Å³/atom


(2)
Here is a relaxed Li2NiOs crystal from the Alexandria database. Energies are from GGA-PBE.

Geometry as POSCAR:
```
Li2NiOs
1.0
2.502 0.000 0.000
0.000 4.452 0.000
-0.217 0.000 4.542
Li Ni Os
2 1 1
Cartesian
0.429 0.000 1.119 Li
1.856 0.000 3.422 Li
-0.108 2.226 2.271 Ni
1.251 2.226 0.000 Os
```

Summary:
DOS at the Fermi energy ... 0.688 states/eV per atom
Energy relative to the elements ... 0.09 eV/atom
Offset from the most stable computed form ... 0.15 eV per formula unit
E_tot ... -20.49 eV/cell
Volume ... 12.65 Å³/atom


(3)
Here is a relaxed Fe2OsPd crystal from the Alexandria database. Energies are from GGA-PBE.

Geometry as POSCAR:
```
Fe2OsPd
1.0
0.000 2.998 2.998
2.998 0.000 2.998
2.998 2.998 0.000
Fe Os Pd
2 1 1
Cartesian
1.499 1.499 1.499 Fe
4.496 4.496 4.496 Fe
0.000 0.000 0.000 Os
2.998 2.998 2.998 Pd
```

Summary:
DOS at the Fermi energy ... 2.870 states/eV per atom
Energy relative to the elements ... 0.30 eV/atom
Offset from the most stable computed form ... 0.80 eV per formula unit
E_tot ... -32.14 eV/cell
Volume ... 13.47 Å³/atom


(4)
Here is a relaxed KAs crystal from the Alexandria database. Energies are from GGA-PBE.

Geometry as POSCAR:
```
KAs
1.0
-2.012 2.700 5.720
2.012 -2.700 5.720
2.012 2.700 -5.720
K As
2 2
Cartesian
0.000 1.350 1.275 K
2.012 1.350 4.445 K
2.012 1.350 -2.089 As
0.000 1.350 7.808 As
```

Summary:
DOS at the Fermi energy ... 0.290 states/eV per atom
Energy relative to the elements ... -0.39 eV/atom
Offset from the most stable computed form ... 0.15 eV per formula unit
E_tot ... -13.06 eV/cell
Volume ... 31.07 Å³/atom


(5)
Here is a relaxed MnFe2Bi2 crystal from the Alexandria database. Energies are from GGA-PBE.

Geometry as POSCAR:
```
MnFe2Bi2
1.0
6.635 0.000 0.000
0.000 6.635 0.000
0.000 0.000 4.074
Mn Fe Bi
2 4 4
Cartesian
0.000 0.000 0.000 Mn
3.318 3.318 0.000 Mn
0.824 2.493 0.000 Fe
2.493 5.811 0.000 Fe
4.142 0.824 0.000 Fe
5.811 4.142 0.000 Fe
1.202 4.520 2.037 Bi
2.115 1.202 2.037 Bi
4.520 5.433 2.037 Bi
5.433 2.115 2.037 Bi
```

Summary:
DOS at the Fermi energy ... 1.395 states/eV per atom
Energy relative to the elements ... 0.76 eV/atom
Offset from the most stable computed form ... 0.00 eV per formula unit
E_tot ... -60.15 eV/cell
Volume ... 17.94 Å³/atom


(6)
Here is a relaxed TaTe2OsI crystal from the Alexandria database. Energies are from GGA-PBE.

Geometry as POSCAR:
```
TaTe2OsI
1.0
5.144 0.000 0.000
0.000 5.144 0.000
0.000 0.000 5.206
Ta Te Os I
1 2 1 1
Cartesian
0.000 0.000 0.000 Ta
0.000 2.572 2.603 Te
2.572 0.000 2.603 Te
2.572 2.572 2.603 Os
2.572 2.572 0.000 I
```

Summary:
DOS at the Fermi energy ... 1.409 states/eV per atom
Energy relative to the elements, uncorrected ... 1.463 eV per atom
Offset from the most stable computed form ... 0.00 eV per formula unit
E_tot ... -23.60 eV/cell
Volume ... 27.55 Å³/atom


(7)
Here is a relaxed LiMg2Ga5Pd2 crystal from the Alexandria database. Energies are from GGA-PBE.

Geometry as POSCAR:
```
LiMg2Ga5Pd2
1.0
9.038 0.000 0.000
0.000 9.038 0.000
0.000 0.000 4.184
Li Mg Ga Pd
2 4 10 4
Cartesian
0.000 0.000 0.000 Li
4.519 4.519 0.000 Li
1.590 2.929 0.000 Mg
2.929 7.448 0.000 Mg
6.109 1.590 0.000 Mg
7.448 6.109 0.000 Mg
0.000 4.519 2.092 Ga
0.634 7.230 2.092 Ga
1.808 0.634 2.092 Ga
2.711 5.153 2.092 Ga
3.885 2.711 2.092 Ga
4.519 0.000 2.092 Ga
5.153 6.327 2.092 Ga
6.327 3.885 2.092 Ga
7.230 8.404 2.092 Ga
8.404 1.808 2.092 Ga
1.093 5.612 0.000 Pd
3.426 1.093 0.000 Pd
5.612 7.945 0.000 Pd
7.945 3.426 0.000 Pd
```

Summary:
DOS at the Fermi energy ... 0.294 states/eV per atom
Energy relative to the elements ... -0.46 eV/atom
E_tot ... -70.50 eV/cell
Volume ... 17.09 Å³/atom


(8)
Here is a relaxed MnInW crystal from the Alexandria database. Energies are from GGA-PBE.

Geometry as POSCAR:
```
MnInW
1.0
-1.498 1.498 5.364
1.498 -1.498 5.364
1.498 1.498 -5.364
Mn In W
1 1 1
Cartesian
0.000 0.000 0.000 Mn
0.000 0.000 7.259 In
0.000 0.000 4.053 W
```

Summary:
DOS at the Fermi energy ... 0.525 states/eV per atom
Energy relative to the elements ... 0.32 eV/atom
Offset from the most stable computed form ... 0.00 eV per formula unit
E_tot ... -23.89 eV/cell
Volume ... 16.04 Å³/atom